(1)
Below is a PBEsol-optimized structure of SmSbPd, with properties calculated at the SCAN level.

Cell: 4.5806 4.5806 7.4148 Å, 90.00 90.00 120.00°
Space group P6_3mc (No. 186)
Asymmetric unit:
Sm (0.0000, 0.0000, 0.0000) [2 per cell]
Sb (0.3333, 0.6667, 0.2278) [2 per cell]
Pd (0.3333, 0.6667, 0.8254) [2 per cell]

Summary:
Formation energy from raw total energies ... -1.23 eV per atom

---

(2)
Below is a PBEsol-optimized structure of SmSbPd, with properties calculated at the SCAN level.

Cell: 4.5017 4.5017 15.6143 Å, 90.00 90.00 120.00°
Space group P6_3/mmc (No. 194)
Asymmetric unit:
Sm (0.0000, 0.0000, 0.0000) [2 per cell]
Sm (0.0000, 0.0000, 0.2500) [2 per cell]
Sb (0.3333, 0.6667, 0.1168) [4 per cell]
Pd (0.3333, 0.6667, 0.6425) [4 per cell]

Summary:
Formation energy from raw total energies ... -1.19 eV per atom

---

(3)
Below is a PBEsol-optimized structure of SnSb3Pd, with properties calculated at the SCAN level.

Cell: 5.471 5.471 5.471 Å, 90.00 90.00 90.00°
Space group Pm-3m (No. 221)
Asymmetric unit:
Sn (0.000, 0.000, 0.000) [1 per cell]
Sb (0.000, 0.000, 0.500) [3 per cell]
Pd (0.500, 0.500, 0.500) [1 per cell]

Summary:
Formation energy from raw total energies ... 1.20 eV per atom

---

(4)
Below is a PBEsol-optimized structure of Sr2SbPd2, with properties calculated at the SCAN level.

Cell: 3.808 3.808 18.030 Å, 90.00 90.00 90.00°
Space group I4/mmm (No. 139)
Asymmetric unit:
Sr (0.000, 0.000, 0.117) [4 per cell]
Sb (0.000, 0.000, 0.500) [2 per cell]
Pd (0.000, 0.500, 0.250) [4 per cell]

Summary:
Formation energy from raw total energies ... -0.62 eV per atom

---

(5)
Below is a PBEsol-optimized structure of SrSbTe2Pd, with properties calculated at the SCAN level.

Cell: 5.878 5.878 5.878 Å, 90.00 90.00 90.00°
Space group P4/mmm (No. 123)
Asymmetric unit:
Sr (0.000, 0.000, 0.000) [1 per cell]
Sb (0.000, 0.000, 0.500) [1 per cell]
Te (0.000, 0.500, 0.000) [2 per cell]
Pd (0.500, 0.500, 0.500) [1 per cell]

Summary:
Formation energy from raw total energies ... 0.91 eV per atom

---

(6)
Below is a PBEsol-optimized structure of Ta3SbPd, with properties calculated at the SCAN level.

Cell: 4.799 4.799 4.799 Å, 90.00 90.00 90.00°
Space group Pm-3m (No. 221)
Asymmetric unit:
Ta (0.000, 0.000, 0.500) [3 per cell]
Sb (0.500, 0.500, 0.500) [1 per cell]
Pd (0.000, 0.000, 0.000) [1 per cell]

Summary:
Energy above the lowest structure with this stoichiometry ... 0.000 eV/atom
Formation energy from raw total energies ... 1.24 eV per atom

---

(7)
Below is a PBEsol-optimized structure of TaSbPd3, with properties calculated at the SCAN level.

Cell: 4.791 4.791 4.791 Å, 90.00 90.00 90.00°
Space group Pm-3m (No. 221)
Asymmetric unit:
Ta (0.000, 0.000, 0.000) [1 per cell]
Sb (0.500, 0.500, 0.500) [1 per cell]
Pd (0.000, 0.000, 0.500) [3 per cell]

Summary:
Formation energy from raw total energies ... 0.82 eV per atom

---

(8)
Below is a PBEsol-optimized structure of TaTcSbPd2, with properties calculated at the SCAN level.

Cell: 4.663 4.663 4.849 Å, 90.00 90.00 90.00°
Space group P4/mmm (No. 123)
Asymmetric unit:
Ta (0.000, 0.000, 0.000) [1 per cell]
Tc (0.500, 0.500, 0.000) [1 per cell]
Sb (0.500, 0.500, 0.500) [1 per cell]
Pd (0.000, 0.500, 0.500) [2 per cell]

Summary:
Formation energy from raw total energies ... 1.36 eV per atom

---

(9)
Below is a PBEsol-optimized structure of Tb5SbPd2, with properties calculated at the SCAN level.

Cell: 7.700 7.700 13.349 Å, 90.00 90.00 90.00°
Space group I4/mcm (No. 140)
Asymmetric unit:
Tb (0.000, 0.000, 0.000) [4 per cell]
Tb (0.157, 0.343, 0.142) [16 per cell]
Sb (0.000, 0.000, 0.250) [4 per cell]
Pd (0.134, 0.366, 0.500) [8 per cell]

Summary:
Formation energy from raw total energies ... -0.86 eV per atom

---

(10)
Below is a PBEsol-optimized structure of Tb3Sb4Pd8, with properties calculated at the SCAN level.

Cell: 13.069 13.069 13.069 Å, 90.00 90.00 90.00°
Space group Fm-3m (No. 225)
Asymmetric unit:
Tb (0.000, 0.000, 0.225) [24 per cell]
Sb (0.000, 0.000, 0.000) [4 per cell]
Sb (0.000, 0.000, 0.500) [4 per cell]
Sb (0.000, 0.250, 0.250) [24 per cell]
Pd (0.119, 0.119, 0.381) [32 per cell]
Pd (0.168, 0.168, 0.168) [32 per cell]

Summary:
Formation energy from raw total energies ... -0.92 eV per atom

---

(11)
Below is a PBEsol-optimized structure of TcSbPd3, with properties calculated at the SCAN level.

Cell: 4.796 4.796 4.796 Å, 90.00 90.00 90.00°
Space group Pm-3m (No. 221)
Asymmetric unit:
Tc (0.000, 0.000, 0.000) [1 per cell]
Sb (0.500, 0.500, 0.500) [1 per cell]
Pd (0.000, 0.500, 0.500) [3 per cell]

Summary:
Formation energy from raw total energies ... 0.91 eV per atom

---

(12)
Below is a PBEsol-optimized structure of TcSbTe2Pd, with properties calculated at the SCAN level.

Cell: 5.215 5.215 5.009 Å, 90.00 90.00 90.00°
Space group P4/mmm (No. 123)
Asymmetric unit:
Tc (0.000, 0.000, 0.000) [1 per cell]
Sb (0.500, 0.500, 0.000) [1 per cell]
Te (0.000, 0.500, 0.500) [2 per cell]
Pd (0.500, 0.500, 0.500) [1 per cell]

Summary:
Formation energy from raw total energies ... 0.92 eV per atom

---

(13)
Below is a PBEsol-optimized structure of Sb2Te4Pd3, with properties calculated at the SCAN level.

Cell: 6.535 6.536 19.629 Å, 89.87 89.83 89.89°
Space group P1 (No. 1)
Asymmetric unit:
Sb (0.000, 0.000, 0.000) [1 per cell]
Sb (0.000, 0.000, 0.332) [1 per cell]
Sb (0.002, 0.001, 0.666) [1 per cell]
Sb (0.237, 0.502, 0.419) [1 per cell]
Sb (0.237, 0.503, 0.753) [1 per cell]
Sb (0.238, 0.504, 0.086) [1 per cell]
Sb (0.742, 0.762, 0.832) [1 per cell]
Sb (0.743, 0.762, 0.165) [1 per cell]
Te (0.002, 0.498, 0.586) [1 per cell]
Te (0.236, 0.997, 0.831) [1 per cell]
Te (0.236, 0.998, 0.164) [1 per cell]
Te (0.237, 0.998, 0.497) [1 per cell]
Te (0.495, 0.757, 0.333) [1 per cell]
Te (0.496, 0.758, 0.000) [1 per cell]
Te (0.496, 0.758, 0.667) [1 per cell]
Te (0.500, 0.264, 0.587) [1 per cell]
Te (0.501, 0.263, 0.253) [1 per cell]
Te (0.501, 0.264, 0.919) [1 per cell]
Te (0.740, 0.764, 0.498) [1 per cell]
Te (0.742, 0.257, 0.417) [1 per cell]
Te (0.742, 0.258, 0.084) [1 per cell]
Te (0.743, 0.258, 0.751) [1 per cell]
Te (0.995, 0.504, 0.918) [1 per cell]
Te (0.997, 0.504, 0.251) [1 per cell]
Pd (0.366, 0.134, 0.375) [1 per cell]
Pd (0.367, 0.134, 0.042) [1 per cell]
Pd (0.368, 0.133, 0.710) [1 per cell]
Pd (0.370, 0.630, 0.541) [1 per cell]
Pd (0.372, 0.632, 0.208) [1 per cell]
Pd (0.372, 0.632, 0.875) [1 per cell]
Pd (0.869, 0.129, 0.877) [1 per cell]
Pd (0.870, 0.129, 0.209) [1 per cell]
Pd (0.870, 0.130, 0.543) [1 per cell]
Pd (0.871, 0.632, 0.375) [1 per cell]
Pd (0.871, 0.633, 0.043) [1 per cell]
Pd (0.871, 0.634, 0.709) [1 per cell]

Summary:
Formation energy from raw total energies ... -0.39 eV per atom

---

(14)
Below is a PBEsol-optimized structure of SbTePd, with properties calculated at the SCAN level.

Cell: 6.525 6.525 6.525 Å, 90.00 90.00 90.00°
Space group P2_13 (No. 198)
Asymmetric unit:
Sb (0.129, 0.129, 0.129) [4 per cell]
Te (0.128, 0.372, 0.628) [4 per cell]
Pd (0.003, 0.997, 0.497) [4 per cell]

Summary:
Formation energy from raw total energies ... -0.42 eV per atom

---

(15)
Below is a PBEsol-optimized structure of TiSb2TePd, with properties calculated at the SCAN level.

Cell: 5.125 5.125 5.105 Å, 90.00 90.00 90.00°
Space group P4/mmm (No. 123)
Asymmetric unit:
Ti (0.000, 0.000, 0.000) [1 per cell]
Sb (0.000, 0.500, 0.000) [2 per cell]
Te (0.000, 0.000, 0.500) [1 per cell]
Pd (0.500, 0.500, 0.500) [1 per cell]

Summary:
Formation energy from raw total energies ... 0.39 eV per atom

---

(16)
Below is a PBEsol-optimized structure of TlSb2TePd, with properties calculated at the SCAN level.

Cell: 5.529 5.529 5.560 Å, 90.00 90.00 90.00°
Space group P4/mmm (No. 123)
Asymmetric unit:
Tl (0.000, 0.000, 0.000) [1 per cell]
Sb (0.000, 0.500, 0.000) [2 per cell]
Te (0.000, 0.000, 0.500) [1 per cell]
Pd (0.500, 0.500, 0.500) [1 per cell]

Summary:
Formation energy from raw total energies ... 1.23 eV per atom

---

(17)
Below is a PBEsol-optimized structure of ZrTiSbPd2, with properties calculated at the SCAN level.

Cell: 4.571 4.571 4.998 Å, 90.00 90.00 90.00°
Space group P4/mmm (No. 123)
Asymmetric unit:
Zr (0.000, 0.000, 0.000) [1 per cell]
Ti (0.000, 0.000, 0.500) [1 per cell]
Sb (0.500, 0.500, 0.000) [1 per cell]
Pd (0.000, 0.500, 0.500) [2 per cell]

Summary:
Formation energy from raw total energies ... 0.40 eV per atom

---

(18)
Below is a PBEsol-optimized structure of TlSb2Pd2, with properties calculated at the SCAN level.

Cell: 4.477 4.477 11.585 Å, 90.00 90.00 90.00°
Space group I4/mmm (No. 139)
Asymmetric unit:
Tl (0.000, 0.000, 0.000) [2 per cell]
Sb (0.000, 0.000, 0.369) [4 per cell]
Pd (0.000, 0.500, 0.250) [4 per cell]

Summary:
Formation energy from raw total energies ... -0.27 eV per atom

---

(19)
Below is a PBEsol-optimized structure of Tl2Sb2Pd, with properties calculated at the SCAN level.

Cell: 4.003 4.003 17.264 Å, 90.00 90.00 90.00°
Space group I4/mmm (No. 139)
Asymmetric unit:
Tl (0.000, 0.000, 0.086) [4 per cell]
Sb (0.000, 0.500, 0.250) [4 per cell]
Pd (0.000, 0.000, 0.500) [2 per cell]

Summary:
Formation energy from raw total energies ... 0.32 eV per atom

---

(20)
Below is a PBEsol-optimized structure of Tm3Sb4Pd8, with properties calculated at the SCAN level.

Cell: 12.988 12.988 12.988 Å, 90.00 90.00 90.00°
Space group Fm-3m (No. 225)
Asymmetric unit:
Tm (0.000, 0.000, 0.225) [24 per cell]
Sb (0.000, 0.000, 0.000) [4 per cell]
Sb (0.000, 0.000, 0.500) [4 per cell]
Sb (0.000, 0.250, 0.250) [24 per cell]
Pd (0.119, 0.119, 0.381) [32 per cell]
Pd (0.166, 0.166, 0.166) [32 per cell]

Summary:
Formation energy from raw total energies ... -0.90 eV per atom

---

(21)
Below is a PBEsol-optimized structure of TmSbPd2, with properties calculated at the SCAN level.

Cell: 6.655 6.655 6.655 Å, 90.00 90.00 90.00°
Space group Fm-3m (No. 225)
Asymmetric unit:
Tm (0.000, 0.000, 0.000) [4 per cell]
Sb (0.000, 0.000, 0.500) [4 per cell]
Pd (0.250, 0.250, 0.250) [8 per cell]

Summary:
Formation energy from raw total energies ... -0.95 eV per atom

---

(22)
Below is a PBEsol-optimized structure of Sb2Pd2W, with properties calculated at the SCAN level.

Cell: 4.129 4.129 11.788 Å, 90.00 90.00 90.00°
Space group I4/mmm (No. 139)
Asymmetric unit:
Sb (0.000, 0.500, 0.250) [4 per cell]
Pd (0.000, 0.000, 0.106) [4 per cell]
W (0.000, 0.000, 0.500) [2 per cell]

Summary:
Formation energy from raw total energies ... 0.91 eV per atom